Compound: LiTe2
Source: Alexandria via LeMat-Bulk
Functional: PBE-GGA
Structure: optimized geometry

Cell: 4.3902 6.3003 8.8093 Å, 58.75 75.58 69.56°
With the nearest neighbours (Å) after each atom.
Fractional coordinates of all 6 atoms:
1 Te 0.2775 0.9999 0.4445  4 Li 2.81, 2 Te 3.04
2 Te 0.7786 0.5000 0.9444  2 Li 2.92, 4 Te 3.05
3 Te 0.4229 0.4338 0.7213  1 Li 2.83, 3 Te 3.04-3.05
4 Te 0.1334 0.5662 0.1677  1 Li 2.83, 3 Te 3.04-3.05
5 Li 0.8861 0.9800 0.2464  4 Te 2.81-2.92
6 Li 0.6683 0.0200 0.6424  4 Te 2.81-2.92

Computed properties:
- spin magnetization (μB per formula unit) = 0.0
- symmetry = C2, No. 5
- formation energy (no corrections) (eV per atom) = -0.463


Compound: LiMo2Br
Source: Alexandria via LeMat-Bulk
Functional: PBE-GGA
Structure: optimized geometry

Cell: 3.2681 3.3192 6.7764 Å, 77.45 90.00 90.00°
With the nearest neighbours (Å) after each atom.
Fractional coordinates of all 4 atoms:
1 Mo 0.0000 0.0829 0.0076  4 Mo 2.49-2.74
2 Mo 0.5000 0.4453 0.1844  4 Mo 2.49-2.74
3 Li 0.5000 0.7006 0.7336  4 Br 2.56
4 Br 0.0000 0.2711 0.5744  4 Li 2.56

Computed properties:
- spin magnetization (μB per formula unit) = 0.0
- symmetry = Pm, No. 6
- formation energy (no corrections) (eV per atom) = 0.069


Compound: CuAgCl2
Source: Alexandria via LeMat-Bulk
Functional: PBE-GGA
Structure: optimized geometry

Cell: 3.8342 3.8342 7.2008 Å, 90.00 90.00 114.59°
With the nearest neighbours (Å) after each atom.
Fractional coordinates of all 4 atoms:
1 Cu 0.0000 0.0000 0.4765  2 Cl 2.22
2 Ag 0.5000 0.5000 0.7363  3 Cl 2.47-2.67
3 Cl 0.0000 0.0000 0.9224  2 Ag 2.47
4 Cl 0.5000 0.5000 0.3648  2 Cu 2.22

Computed properties:
- spin magnetization (μB per formula unit) = 0.0
- symmetry = Cmm2, No. 35
- formation energy (no corrections) (eV per atom) = -0.276


Compound: CsPCl2O
Source: Alexandria via LeMat-Bulk
Functional: PBE-GGA
Structure: optimized geometry

Cell: 6.2579 6.2579 3.4256 Å, 90.00 90.00 90.00°
With the nearest neighbours (Å) after each atom.
Fractional coordinates of all 5 atoms:
1 O 0.0000 0.0000 0.0000  2 P 1.71
2 Cs 0.5000 0.5000 0.5000  2 Cs 3.43, 8 Cl 3.57
3 P 0.0000 0.0000 0.5000  2 O 1.71
4 Cl 0.5000 0.0000 0.0000  2 O 3.13, 2 Cl 3.43
5 Cl 0.0000 0.5000 0.0000  2 O 3.13, 2 Cl 3.43

Computed properties:
- spin magnetization (μB per formula unit) = 0.0
- symmetry = P4/mmm, No. 123
- formation energy (no corrections) (eV per atom) = -0.614


Compound: BaLa3Pt
Source: Alexandria via LeMat-Bulk
Functional: PBE-GGA
Structure: optimized geometry

Cell: 8.4665 8.4665 6.4582 Å, 90.00 90.00 130.02°
With the nearest neighbours (Å) after each atom.
Fractional coordinates of all 10 atoms:
1 Pt 0.8316 0.1684 0.7500  4 La 2.89-3.05
2 Pt 0.1684 0.8316 0.2500  4 La 2.89-3.05
3 La 0.4229 0.0432 0.7500  1 Pt 2.89
4 La 0.0432 0.4229 0.2500  1 Pt 2.89
5 La 0.9568 0.5771 0.7500  1 Pt 2.89
6 La 0.0000 0.0000 0.5000  2 Pt 3.05, 2 La 3.23
7 La 0.5771 0.9568 0.2500  1 Pt 2.89
8 La 0.0000 0.0000 0.0000  2 Pt 3.05, 2 La 3.23
9 Ba 0.5758 0.4242 0.2500  2 Pt 3.85, 10 La 3.96-4.14, 2 Ba 3.98
10 Ba 0.4242 0.5758 0.7500  2 Pt 3.85, 10 La 3.96-4.14, 2 Ba 3.98

Computed properties:
- spin magnetization (μB per formula unit) = 0.0
- symmetry = Cmcm, No. 63
- DFT formation energy (kJ per mole of atoms) = -28.9


Compound: Ho3Tm4
Source: Alexandria via LeMat-Bulk
Functional: PBE-GGA
Structure: optimized geometry

Cell: 4.9440 7.8201 6.0484 Å, 97.48 114.12 90.00°
With the nearest neighbours (Å) after each atom.
Fractional coordinates of all 7 atoms:
1 Tm 0.8572 0.5709 0.7143  6 Tm 3.49-3.50, 6 Ho 3.49-3.50
2 Tm 0.7142 0.1433 0.4284  5 Tm 3.49-3.50, 7 Ho 3.49-3.50
3 Tm 0.1428 0.4291 0.2857  6 Tm 3.49-3.50, 6 Ho 3.49-3.50
4 Tm 0.2858 0.8567 0.5716  5 Tm 3.49-3.50, 7 Ho 3.49-3.50
5 Ho 0.0000 0.0000 0.0000  8 Tm 3.49-3.50, 4 Ho 3.50
6 Ho 0.4285 0.2855 0.8570  9 Tm 3.49-3.50, 3 Ho 3.50
7 Ho 0.5715 0.7145 0.1430  9 Tm 3.49-3.50, 3 Ho 3.50

Computed properties:
- spin magnetization (μB per formula unit) = 0.0
- symmetry = C2/m, No. 12
- DFT formation energy (kJ per mole of atoms) = 2.4


Compound: BiSbPdI2
Source: Alexandria via LeMat-Bulk
Functional: PBE-GGA
Structure: optimized geometry

Cell: 5.3925 5.3925 5.3983 Å, 90.00 90.00 90.00°
With the nearest neighbours (Å) after each atom.
Fractional coordinates of all 5 atoms:
1 I 0.0000 0.5000 0.0000  2 Pd 2.70
2 I 0.5000 0.0000 0.0000  2 Pd 2.70
3 Pd 0.0000 0.0000 0.0000  4 I 2.70, 2 Sb 2.70
4 Bi 0.5000 0.5000 0.5000  4 Sb 3.81, 8 I 3.82
5 Sb 0.0000 0.0000 0.5000  2 Pd 2.70

Computed properties:
- spin magnetization (μB per formula unit) = 0.0
- symmetry = P4/mmm, No. 123
- formation energy (no corrections) (eV per atom) = 0.228


Compound: RbPuI5
Source: Alexandria via LeMat-Bulk
Functional: PBE-GGA
Structure: optimized geometry

Cell: 8.3683 8.3683 12.2929 Å, 91.98 109.52 117.28°
With the nearest neighbours (Å) after each atom.
Fractional coordinates of all 14 atoms:
1 I 0.8772 0.1885 0.4670  1 Pu 2.99
2 I 0.1228 0.8115 0.5330  1 Pu 2.99
3 I 0.7068 0.9568 0.7500  2 Pu 3.11
4 I 0.7785 0.5898 0.9670  1 Pu 2.99
5 I 0.2488 0.9689 0.8879  1 Pu 2.95
6 I 0.4191 0.6391 0.3879  1 Pu 2.95
7 I 0.2215 0.4102 0.0330  1 Pu 2.99
8 I 0.2932 0.0432 0.2500  2 Pu 3.11
9 I 0.7512 0.0311 0.1121  1 Pu 2.95
10 I 0.5809 0.3609 0.6121  1 Pu 2.95
11 Pu 0.0000 0.0000 0.0000  6 I 2.95-3.11
12 Pu 0.5000 0.0000 0.5000  6 I 2.95-3.11
13 Rb 0.7320 0.4820 0.2500  5 I 3.72-3.96
14 Rb 0.2680 0.5180 0.7500  5 I 3.72-3.96

Computed properties:
- spin magnetization (μB per formula unit) = 4.0
- symmetry = C2/c, No. 15
- formation energy (no corrections) (eV per atom) = -1.016


Compound: ZrNb2Tl3O9
Source: Alexandria via LeMat-Bulk
Functional: PBE-GGA
Structure: optimized geometry

Cell: 5.8528 5.8528 7.1795 Å, 90.00 90.00 120.00°
With the nearest neighbours (Å) after each atom.
Fractional coordinates of all 15 atoms:
1 O 0.5000 0.0000 0.0000  2 Nb 2.08
2 O 0.8291 0.6582 0.6744  1 Nb 2.00, 1 Zr 2.14
3 O 0.3418 0.1709 0.6744  1 Nb 2.00, 1 Zr 2.14
4 O 0.0000 0.5000 0.0000  2 Nb 2.08
5 O 0.1709 0.3418 0.3256  1 Nb 2.00, 1 Zr 2.14
6 O 0.1709 0.8291 0.3256  1 Nb 2.00, 1 Zr 2.14
7 O 0.6582 0.8291 0.3256  1 Nb 2.00, 1 Zr 2.14
8 O 0.8291 0.1709 0.6744  1 Nb 2.00, 1 Zr 2.14
9 O 0.5000 0.5000 0.0000  2 Nb 2.08
10 Zr 0.0000 0.0000 0.5000  6 O 2.14
11 Nb 0.3333 0.6667 0.1683  6 O 2.00-2.08
12 Nb 0.6667 0.3333 0.8317  6 O 2.00-2.08
13 Tl 0.3333 0.6667 0.6719  12 O 2.90-2.98
14 Tl 0.0000 0.0000 0.0000  12 O 2.91-2.93
15 Tl 0.6667 0.3333 0.3281  12 O 2.90-2.98

Computed properties:
- spin magnetization (μB per formula unit) = 0.0
- symmetry = P-3m1, No. 164
- formation energy (no corrections) (eV per atom) = -2.033


Compound: SrRu2Rh
Source: Alexandria via LeMat-Bulk
Functional: PBE-GGA
Structure: optimized geometry

Cell: 5.1975 5.1975 2.7783 Å, 90.00 90.00 113.64°
With the nearest neighbours (Å) after each atom.
Fractional coordinates of all 4 atoms:
1 Ru 0.5000 0.5000 0.0000  4 Ru 2.78-2.84, 4 Sr 2.95, 4 Rh 2.95
2 Ru 0.0000 0.0000 0.0000  4 Ru 2.78-2.84, 4 Rh 2.95, 4 Sr 2.95
3 Sr 0.5000 0.0000 0.5000  2 Sr 2.78, 2 Rh 2.84, 8 Ru 2.95
4 Rh 0.0000 0.5000 0.5000  2 Rh 2.78, 2 Sr 2.84, 8 Ru 2.95

Computed properties:
- spin magnetization (μB per formula unit) = 0.0
- symmetry = Cmmm, No. 65
- DFT formation energy (kJ per mole of atoms) = 67.6